No. 1
The following is a GGA-PBEsol calculation of an optimized crystal structure of Co2OsPdAu, from Alexandria via LeMat-Bulk.

* magnetic moment: 6.654 Bohr magnetons per cell
* DFT formation energy: 10.85 eV per formula unit
* DOS(E_F): 7.05 states/eV per cell
* electronic total energy: -5.3446 eV/atom

Unit cell a=4.487 b=4.487 c=4.839 alpha=90.00 beta=90.00 gamma=90.00
Fractional coordinates of all 5 atoms:
Co  0.000  0.500  0.000
Co  0.500  0.000  0.000
Os  0.000  0.000  0.500
Pd  0.500  0.500  0.500
Au  0.000  0.000  0.000

---

No. 2
The following is a GGA-PBEsol calculation of an optimized crystal structure of BaNiIr2, from Alexandria via LeMat-Bulk.

* magnetic moment: 1.187 Bohr magnetons per cell
* DFT formation energy: 3.69 eV per formula unit
* DOS(E_F): 5.68 states/eV per cell
* electronic total energy: -6.0661 eV/atom

Unit cell a=5.199 b=5.199 c=5.199 alpha=134.26 beta=134.26 gamma=66.68
Fractional coordinates of all 4 atoms:
Ba  0.000  0.000  0.000
Ni  0.500  0.500  0.000
Ir  0.250  0.750  0.500
Ir  0.750  0.250  0.500